# Ho6Tl2O (PBE, optimized geometry)
data_Ho6Tl2O
_symmetry_space_group_name_H-M 'P 1 21/c 1'
_symmetry_Int_Tables_number 14
_symmetry_space_group_name_Hall '-P 2ybc'
_cell_length_a 6.588
_cell_length_b 6.655
_cell_length_c 12.427
_cell_angle_alpha 90.00
_cell_angle_beta 121.98
_cell_angle_gamma 90.00
loop_
_atom_site_label
_atom_site_fract_x
_atom_site_fract_y
_atom_site_fract_z
Ho1 0.173 0.192 0.489
Ho2 0.289 0.519 0.748
Ho3 0.297 0.685 0.487
Tl1 0.214 0.048 0.750
O1 0.000 0.000 0.000
# ΔE_f (raw): -73.2 kJ per mole of atoms
# energy: -87.979 eV/cell
# crystal system: monoclinic

=====

# AgMoIr2I (PBE, optimized geometry)
data_AgMoIr2I
_symmetry_space_group_name_H-M 'P 4/m m m'
_symmetry_Int_Tables_number 123
_symmetry_space_group_name_Hall '-P 4 2'
_cell_length_a 4.856
_cell_length_b 4.856
_cell_length_c 4.913
_cell_angle_alpha 90.00
_cell_angle_beta 90.00
_cell_angle_gamma 90.00
loop_
_atom_site_label
_atom_site_fract_x
_atom_site_fract_y
_atom_site_fract_z
Ag1 0.000 0.000 0.000
Mo1 0.500 0.500 0.000
Ir1 0.000 0.500 0.500
I1 0.500 0.500 0.500
# ΔE_f (raw): 190.9 kJ per mole of atoms
# energy: -23.062 eV/cell
# crystal system: tetragonal

=====

# HIrSe2N (PBE, optimized geometry)
data_HIrSe2N
_symmetry_space_group_name_H-M 'P 4/m m m'
_symmetry_Int_Tables_number 123
_symmetry_space_group_name_Hall '-P 4 2'
_cell_length_a 4.745
_cell_length_b 4.745
_cell_length_c 2.761
_cell_angle_alpha 90.00
_cell_angle_beta 90.00
_cell_angle_gamma 90.00
loop_
_atom_site_label
_atom_site_fract_x
_atom_site_fract_y
_atom_site_fract_z
H1 0.000 0.000 0.000
Ir1 0.500 0.500 0.500
Se1 0.000 0.500 0.000
N1 0.000 0.000 0.500
# energy relative to the lowest polymorph listed for this composition: 0.75 eV/f.u.
# energy: -21.829 eV/cell
# crystal system: tetragonal

=====

# Pr2TlGe (PBE, optimized geometry)
data_Pr2TlGe
_symmetry_space_group_name_H-M 'P 1 21/m 1'
_symmetry_Int_Tables_number 11
_symmetry_space_group_name_Hall '-P 2yb'
_cell_length_a 6.304
_cell_length_b 4.303
_cell_length_c 9.050
_cell_angle_alpha 90.00
_cell_angle_beta 107.86
_cell_angle_gamma 90.00
loop_
_atom_site_label
_atom_site_fract_x
_atom_site_fract_y
_atom_site_fract_z
Pr1 0.188 0.250 0.418
Pr2 0.278 0.750 0.059
Tl1 0.379 0.750 0.705
Ge1 0.125 0.250 0.795
# energy: -37.803 eV/cell
# crystal system: monoclinic
# energy of formation from the pure elements: -2.359 eV/f.u.